Compound: Mg6AlCr
Source: Alexandria
Functional: PBE-GGA
Structure: optimized geometry

The calculation puts the raw total energy at -2.755 eV per atom. For the energy above the most stable polymorph in this dataset, the calculation gives 0.000 kcal/mol of atoms. As for the total magnetization: 7.5 μB per cell.

Unit cell a=4.929 b=6.191 c=10.770 alpha=90.00 beta=90.00 gamma=90.00
Atoms (fractional coordinates):
Mg: 0.000 0.000 0.000
Mg: 0.000 0.244 0.253
Mg: 0.000 0.256 0.753
Mg: 0.000 0.500 0.500
Mg: 0.000 0.744 0.753
Mg: 0.000 0.756 0.253
Mg: 0.500 0.000 0.835
Mg: 0.500 0.246 0.585
Mg: 0.500 0.254 0.085
Mg: 0.500 0.500 0.335
Mg: 0.500 0.746 0.085
Mg: 0.500 0.754 0.585
Al: 0.000 0.000 0.492
Al: 0.000 0.500 0.992
Cr: 0.500 0.000 0.344
Cr: 0.500 0.500 0.844

=====

Compound: Sb2Ru2Se
Source: Alexandria
Functional: PBE-GGA
Structure: optimized geometry

The value obtained for the uncorrected formation energy is 0.34 eV per atom. The calculation puts the raw total energy at -5.712 eV per atom. For the energy above the most stable polymorph in this dataset, the calculation gives 0.907 kcal/mol of atoms. As for the total magnetization: 0.0 μB per cell.

Unit cell a=7.907 b=7.907 c=3.061 alpha=90.00 beta=90.00 gamma=90.00
Atoms (fractional coordinates):
Sb: 0.152 0.348 0.000
Sb: 0.348 0.848 0.000
Sb: 0.652 0.152 0.000
Sb: 0.848 0.652 0.000
Ru: 0.137 0.637 0.500
Ru: 0.363 0.137 0.500
Ru: 0.637 0.863 0.500
Ru: 0.863 0.363 0.500
Se: 0.000 0.000 0.000
Se: 0.500 0.500 0.000

=====

Compound: LiCu2Ir
Source: Alexandria
Functional: PBE-GGA
Structure: optimized geometry

The calculation puts the raw total energy at -4.832 eV per atom. For the energy above the most stable polymorph in this dataset, the calculation gives 0.000 kcal/mol of atoms. As for the total magnetization: 0.0 μB per cell.

Unit cell a=5.356 b=7.121 c=2.682 alpha=90.00 beta=90.00 gamma=90.00
Atoms (fractional coordinates):
Li: 0.000 0.000 0.000
Li: 0.500 0.500 0.000
Cu: 0.250 0.250 0.500
Cu: 0.250 0.750 0.500
Cu: 0.750 0.250 0.500
Cu: 0.750 0.750 0.500
Ir: 0.000 0.500 0.000
Ir: 0.500 0.000 0.000

=====

Compound: Pm3Pr8Sm2
Source: Alexandria
Functional: PBE-GGA
Structure: optimized geometry

The calculation puts the raw total energy at -4.614 eV per atom. For the energy above the most stable polymorph in this dataset, the calculation gives 0.000 kcal/mol of atoms. As for the total magnetization: 0.0 μB per cell.

Unit cell a=8.997 b=8.997 c=6.296 alpha=107.28 beta=107.28 gamma=83.76
Atoms (fractional coordinates):
Pm: 0.000 0.000 0.000
Pm: 0.246 0.754 0.500
Pm: 0.754 0.246 0.500
Pr: 0.084 0.573 0.829
Pr: 0.151 0.151 0.554
Pr: 0.427 0.916 0.171
Pr: 0.446 0.446 0.717
Pr: 0.554 0.554 0.283
Pr: 0.573 0.084 0.829
Pr: 0.849 0.849 0.446
Pr: 0.916 0.427 0.171
Sm: 0.288 0.288 0.151
Sm: 0.712 0.712 0.849

=====

Repeat the third record exactly.
Compound: LiCu2Ir
Source: Alexandria
Functional: PBE-GGA
Structure: optimized geometry

The calculation puts the raw total energy at -4.832 eV per atom. For the energy above the most stable polymorph in this dataset, the calculation gives 0.000 kcal/mol of atoms. As for the total magnetization: 0.0 μB per cell.

Unit cell a=5.356 b=7.121 c=2.682 alpha=90.00 beta=90.00 gamma=90.00
Atoms (fractional coordinates):
Li: 0.000 0.000 0.000
Li: 0.500 0.500 0.000
Cu: 0.250 0.250 0.500
Cu: 0.250 0.750 0.500
Cu: 0.750 0.250 0.500
Cu: 0.750 0.750 0.500
Ir: 0.000 0.500 0.000
Ir: 0.500 0.000 0.000

=====

What did the second record say?
Compound: Sb2Ru2Se
Source: Alexandria
Functional: PBE-GGA
Structure: optimized geometry

The value obtained for the uncorrected formation energy is 0.34 eV per atom. The calculation puts the raw total energy at -5.712 eV per atom. For the energy above the most stable polymorph in this dataset, the calculation gives 0.907 kcal/mol of atoms. As for the total magnetization: 0.0 μB per cell.

Unit cell a=7.907 b=7.907 c=3.061 alpha=90.00 beta=90.00 gamma=90.00
Atoms (fractional coordinates):
Sb: 0.152 0.348 0.000
Sb: 0.348 0.848 0.000
Sb: 0.652 0.152 0.000
Sb: 0.848 0.652 0.000
Ru: 0.137 0.637 0.500
Ru: 0.363 0.137 0.500
Ru: 0.637 0.863 0.500
Ru: 0.863 0.363 0.500
Se: 0.000 0.000 0.000
Se: 0.500 0.500 0.000